[1]
The following is a DFT calculation (PBE-GGA) of a geometry-optimized Li2CaRh structure.

The formation enthalpy at 0 K is -72 meV/atom. The value obtained for the volume is 18.763 Å³ per atom. The energy comes out at -3.367 eV per atom.

The structure belongs to space group P4/mmm (No. 123); the cell edges are 4.067, 4.067 and 4.539 Å and the angles 90.00°, 90.00° and 90.00°. Symmetry generates all atoms from Li at (0.000, 0.500, 0.000), Ca at (0.000, 0.000, 0.500) and Rh at (0.500, 0.500, 0.500).

[2]
The following is a DFT calculation (PBE-GGA) of a geometry-optimized CuSnPt structure.

The formation enthalpy at 0 K is -247 meV/atom. The value obtained for the volume is 16.754 Å³ per atom. The energy comes out at -4.960 eV per atom.

The structure belongs to space group I4mm (No. 107); the cell edges are 3.497, 3.497 and 8.222 Å and the angles 90.00°, 90.00° and 90.00°. Symmetry generates all atoms from Cu at (0.000, 0.000, 0.000), Sn at (0.000, 0.000, 0.326) and Pt at (0.000, 0.000, 0.659).

[3]
The following is a DFT calculation (PBE-GGA) of a geometry-optimized LiTbGa4 structure.

The formation enthalpy at 0 K is -360 meV/atom. The value obtained for the volume is 19.209 Å³ per atom. The energy comes out at -3.469 eV per atom.

The structure belongs to space group F-43m (No. 216); the cell edges are 7.725, 7.725 and 7.725 Å and the angles 90.00°, 90.00° and 90.00°. Symmetry generates all atoms from Li at (0.000, 0.000, 0.000), Tb at (0.250, 0.250, 0.250) and Ga at (0.125, 0.125, 0.625).

[4]
The following is a DFT calculation (PBE-GGA) of a geometry-optimized CrNi2Sb structure.

The formation energy from raw total energies is 0.13 eV/atom. The value obtained for the volume is 14.335 Å³ per atom. The energy comes out at -6.194 eV per atom.

The structure belongs to space group C2/m (No. 12); the cell edges are 8.270, 3.107 and 4.579 Å and the angles 90.00°, 102.93° and 90.00°. Symmetry generates all atoms from Cr at (0.000, 0.000, 0.000), Ni at (0.246, 0.500, 0.223) and Sb at (0.000, 0.500, 0.500).

[5]
The following is a DFT calculation (PBE-GGA) of a geometry-optimized Pm2Y8Mg structure.

The formation enthalpy at 0 K is 28 meV/atom. The value obtained for the volume is 32.255 Å³ per atom. The energy comes out at -5.682 eV per atom.

The structure belongs to space group C2/m (No. 12); the cell edges are 19.481, 5.600 and 6.523 Å and the angles 90.00°, 94.31° and 90.00°. Symmetry generates all atoms from Pm at (0.242, 0.000, 0.335), Y at (0.044, 0.000, 0.260), Y at (0.078, 0.500, 0.598), Y at (0.152, 0.000, 0.813), Y at (0.160, 0.500, 0.125) and Mg at (0.000, 0.500, 0.000).

[6]
The following is a DFT calculation (PBE-GGA) of a geometry-optimized Mn4SbP structure.

The formation energy from raw total energies is 0.39 eV/atom. The value obtained for the volume is 14.263 Å³ per atom. The energy comes out at -7.315 eV per atom.

The structure belongs to space group F-43m (No. 216); the cell edges are 6.995, 6.995 and 6.995 Å and the angles 90.00°, 90.00° and 90.00°. Symmetry generates all atoms from Mn at (0.125, 0.125, 0.125), Sb at (0.000, 0.000, 0.500) and P at (0.250, 0.250, 0.750).